[1]
VASP calculation (GGA-PBE) on SrLi2Mo after structural relaxation.

The structure in POSCAR format:
```
SrLi2Mo
1.0
3.008 0.005 0.000
-0.005 3.008 0.000
0.000 0.000 9.260
Li Mo Sr
2 1 1
Cartesian
0.000 0.000 0.449
0.000 0.000 4.181
1.501 1.506 2.315
1.501 1.506 6.945
```

As for the spin magnetization: 0.01 μB/cell. The calculation puts the formation enthalpy at 0 K at 0.777 eV per atom. The space group is P4/mmm. The crystal system is tetragonal.

---

[2]
VASP calculation (GGA-PBE) on Sr2LiMo after structural relaxation.

The structure in POSCAR format:
```
Sr2LiMo
1.0
-0.673 -1.108 6.586
5.434 -1.467 3.657
-3.033 4.431 -4.028
Li Mo Sr
1 1 2
Cartesian
2.168 -1.172 4.663
2.515 0.771 2.643
0.138 -0.075 0.298
-0.712 1.045 3.733
```

As for the spin magnetization: 2.85 μB/cell. The calculation puts the formation enthalpy at 0 K at 0.775 eV per atom. The space group is Imm2. The crystal system is orthorhombic.

---

[3]
VASP calculation (GGA-PBE) on SrLi2Mo after structural relaxation.

The structure in POSCAR format:
```
SrLi2Mo
1.0
5.430 -0.202 0.000
1.219 5.295 0.000
-3.325 -2.547 3.462
Li Mo Sr
2 1 1
Cartesian
0.000 0.000 0.000
0.610 2.648 1.731
3.325 2.547 0.000
2.715 -0.101 1.731
```

As for the spin magnetization: 3.47 μB/cell. The calculation puts the formation enthalpy at 0 K at 0.849 eV per atom. The space group is I-4m2. The crystal system is tetragonal.

---

[4]
VASP calculation (GGA-PBE) on Sr2LiMo2 after structural relaxation.

The structure in POSCAR format:
```
Sr2LiMo2
1.0
-3.382 -1.294 0.178
0.625 -2.037 -2.934
2.216 -10.144 5.275
Sr Mo Li
2 2 1
Cartesian
-0.496 -3.746 0.255
-0.045 -9.729 2.265
-1.272 -6.552 2.038
0.731 -6.923 0.482
0.000 0.000 0.000
```

As for the spin magnetization: 0.00 μB/cell. The calculation puts the formation enthalpy at 0 K at 0.612 eV per atom. The space group is I4/mmm. The crystal system is tetragonal.

---

[5]
VASP calculation (GGA-PBE) on SrLiMo2 after structural relaxation.

The structure in POSCAR format:
```
SrLiMo2
1.0
6.123 -0.004 -0.001
3.681 4.894 0.001
-4.476 -3.299 2.565
Li Mo Sr
1 2 1
Cartesian
2.054 2.019 1.283
0.173 0.087 0.000
4.729 2.358 0.000
3.275 -0.430 1.282
```

As for the spin magnetization: 0.00 μB/cell. The calculation puts the formation enthalpy at 0 K at 0.786 eV per atom. The space group is Immm. The crystal system is orthorhombic.

---

[6]
VASP calculation (GGA-PBE) on Li2TaMo after structural relaxation.

The structure in POSCAR format:
```
Li2TaMo
1.0
2.553 0.000 0.000
0.000 4.426 0.000
0.000 0.000 5.944
Li Mo Ta
2 1 1
Cartesian
0.000 0.000 0.071
1.276 2.213 1.443
0.000 0.000 3.055
1.276 2.213 4.347
```

As for the spin magnetization: 0.00 μB/cell. The calculation puts the formation enthalpy at 0 K at 0.394 eV per atom. The space group is Pmm2. The crystal system is orthorhombic.

---

[7]
VASP calculation (GGA-PBE) on LiTaMo2 after structural relaxation.

The structure in POSCAR format:
```
LiTaMo2
1.0
7.017 0.000 0.000
0.000 7.017 0.000
3.508 3.508 2.612
Mo Li Ta
4 2 2
Cartesian
5.093 1.754 0.653
1.924 5.263 0.653
5.263 5.432 1.959
8.771 8.602 1.959
3.508 3.508 0.000
3.508 7.017 1.306
0.000 0.000 0.000
7.017 3.508 1.306
```

As for the spin magnetization: 0.00 μB/cell. The calculation puts the formation enthalpy at 0 K at 0.801 eV per atom. The space group is I-42d. The crystal system is tetragonal.

---

[8]
VASP calculation (GGA-PBE) on Li2TaMo after structural relaxation.

The structure in POSCAR format:
```
Li2TaMo
1.0
-4.475 1.385 1.129
-3.041 -1.173 -3.550
3.303 -2.552 2.408
Li Mo Ta
2 1 1
Cartesian
0.000 0.000 0.000
-1.748 -1.809 -1.176
-3.758 0.106 -1.210
-2.465 -0.530 1.163
```

As for the spin magnetization: 0.00 μB/cell. The calculation puts the formation enthalpy at 0 K at 0.584 eV per atom. The space group is I-4m2. The crystal system is tetragonal.

---

What are the total energy values for these records? In order: -3.31 -3.25 -3.24 -4.78 -5.53 -6.23 -8.06 -6.04 eV per atom.
What are the energy relative to the lowest polymorph listed for this composition values for these records? In order: 11.96 4.29 18.91 0.00 27.39 18.89 56.91 37.25 kJ/mol of atoms.